1.
Here is an optimized crystal structure of Mn2CN from the Alexandria database. Energies are from PBE.

Unit cell a=3.5363 b=3.5363 c=3.5363 alpha=60.00 beta=60.00 gamma=60.00
Closest atoms and distances in Å follow each position.
Positions (direct):
Mn  0.2500  0.2500  0.2500  4 C 2.17, 4 N 2.17
Mn  0.7500  0.7500  0.7500  4 C 2.17, 4 N 2.17
C  0.0000  0.0000  0.0000  8 Mn 2.17
N  0.5000  0.5000  0.5000  8 Mn 2.17

The value obtained for the magnetic moment is 2.0 μB per cell. Its formation energy without anion corrections is 0.64 eV/atom.

=====

2.
Here is an optimized crystal structure of Mn4CN2 from the Alexandria database. Energies are from PBE.

Unit cell a=5.6973 b=5.6973 c=5.6973 alpha=60.00 beta=60.00 gamma=60.00
Closest atoms and distances in Å follow each position.
Positions (direct):
Mn  0.2283  0.7572  0.7572  1 C 1.85, 3 N 1.96
Mn  0.2428  0.2428  0.2428  1 C 1.85, 3 N 1.96
Mn  0.2428  0.2428  0.7717  1 C 1.85, 3 N 1.96
Mn  0.2428  0.7717  0.2428  1 C 1.85, 3 N 1.96
Mn  0.7572  0.2283  0.7572  1 C 1.85, 3 N 1.96
Mn  0.7572  0.7572  0.2283  1 C 1.85, 3 N 1.96
Mn  0.7572  0.7572  0.7572  1 C 1.85, 3 N 1.96
Mn  0.7717  0.2428  0.2428  1 C 1.85, 3 N 1.96
C  0.3750  0.3750  0.3750  4 Mn 1.85
C  0.6250  0.6250  0.6250  4 Mn 1.85
N  0.0000  0.0000  0.0000  6 Mn 1.96
N  0.0000  0.0000  0.5000  6 Mn 1.96
N  0.0000  0.5000  0.0000  6 Mn 1.96
N  0.5000  0.0000  0.0000  6 Mn 1.96

The value obtained for the magnetic moment is 8.8 μB per cell. Its formation energy without anion corrections is -0.03 eV/atom.

=====

3.
Here is an optimized crystal structure of MnC4N6 from the Alexandria database. Energies are from PBE.

Unit cell a=6.7032 b=7.3176 c=7.5558 alpha=90.00 beta=90.00 gamma=90.00
Closest atoms and distances in Å follow each position.
Positions (direct):
Mn  0.0000  0.0000  0.0000  6 N 2.16-2.38
Mn  0.5000  0.5000  0.5000  6 N 2.16-2.38
C  0.2208  0.1756  0.3492  2 N 1.18-1.31
C  0.2208  0.1756  0.6508  2 N 1.18-1.31
C  0.2792  0.6756  0.1508  2 N 1.18-1.31
C  0.2792  0.6756  0.8492  2 N 1.18-1.31
C  0.7208  0.3244  0.1508  2 N 1.18-1.31
C  0.7208  0.3244  0.8492  2 N 1.18-1.31
C  0.7792  0.8244  0.3492  2 N 1.18-1.31
C  0.7792  0.8244  0.6508  2 N 1.18-1.31
N  0.1737  0.1258  0.2073  1 C 1.18
N  0.1737  0.1258  0.7927  1 C 1.18
N  0.2166  0.7414  0.0000  2 C 1.31
N  0.2834  0.2414  0.5000  2 C 1.31
N  0.3263  0.6258  0.2927  1 C 1.18
N  0.3263  0.6258  0.7073  1 C 1.18
N  0.6737  0.3742  0.2927  1 C 1.18
N  0.6737  0.3742  0.7073  1 C 1.18
N  0.7166  0.7586  0.5000  2 C 1.31
N  0.7834  0.2586  0.0000  2 C 1.31
N  0.8263  0.8742  0.2073  1 C 1.18
N  0.8263  0.8742  0.7927  1 C 1.18

The value obtained for the magnetic moment is 10.0 μB per cell. Its formation energy without anion corrections is 0.26 eV/atom.

=====

4.
Here is an optimized crystal structure of Mn2CN from the Alexandria database. Energies are from PBE.

Unit cell a=5.3079 b=5.3079 c=5.3079 alpha=131.97 beta=131.97 gamma=70.28
Closest atoms and distances in Å follow each position.
Positions (direct):
Mn  0.1211  0.6250  0.9961  2 N 1.86, 2 C 1.88
Mn  0.3750  0.3711  0.4961  2 N 1.86, 2 C 1.88
Mn  0.6289  0.1250  0.0039  2 N 1.86, 2 C 1.88
Mn  0.8750  0.8789  0.5039  2 N 1.86, 2 C 1.88
C  0.2500  0.7500  0.5000  4 Mn 1.88
C  0.5000  0.5000  0.0000  4 Mn 1.88
N  0.0000  0.0000  0.0000  4 Mn 1.86
N  0.7500  0.2500  0.5000  4 Mn 1.86

The value obtained for the magnetic moment is 5.6 μB per cell. Its formation energy without anion corrections is 0.07 eV/atom.